Entry 1:
## TbPm5Dy4 (PBE)

Data for an optimized crystal structure of TbPm5Dy4.

SG = No. 12
Final energy = -45.3 eV per formula unit
Volume = 340.0 Å³ per cell

Cell lengths 3.5907, 10.4661, 9.2740 Å; angles 83.95, 101.16, 90.00 degrees
Atoms (fractional coordinates):
Dy (0.9546, 0.7619, 0.9092)
Dy (0.3173, 0.9122, 0.6345)
Pm (0.1891, 0.4038, 0.3781)
Pm (0.8578, 0.2310, 0.7156)
Dy (0.0454, 0.2381, 0.0908)
Pm (0.1422, 0.7690, 0.2844)
Dy (0.6827, 0.0878, 0.3655)
Pm (0.5000, 0.5000, 0.0000)
Pm (0.8109, 0.5962, 0.6219)
Tb (0.5000, 0.0000, 0.0000)

Entry 2:
## Tb3Pm2Dy7 (PBE)

Data for an optimized crystal structure of Tb3Pm2Dy7.

SG = No. 10
Relative energy among the computed polymorphs = 0.0 meV per atom
Volume = 388.5 Å³ per cell

Cell lengths 3.5416, 6.3644, 17.2342 Å; angles 90.01, 90.00, 90.00 degrees
Atoms (fractional coordinates):
Dy (0.0000, 0.3242, 0.8361)
Tb (0.0000, 0.9991, 0.6589)
Dy (0.5000, 0.1726, 0.1659)
Pm (0.5000, 0.4913, 0.6739)
Tb (0.0000, 0.0009, 0.3411)
Pm (0.5000, 0.5087, 0.3261)
Tb (0.5000, 0.5000, 0.0000)
Dy (0.5000, 0.8274, 0.8341)
Dy (0.5000, 0.2438, 0.4988)
Dy (0.5000, 0.7562, 0.5012)
Dy (0.0000, 0.6758, 0.1639)
Dy (0.0000, 0.0000, 0.0000)

Number 1: magnetic moment 0.000 μB per atom. Number 2: magnetic moment 0.000 μB per atom.